Density functional theory data (PBE-GGA) for a geometry-optimized YScHg3 structure.

Cell and atoms, written as POSCAR:
```
YScHg3
1.0
3.424 0.000 -0.471
0.000 4.810 0.000
0.237 0.000 14.393
Y Hg Sc
2 6 2
Direct
0.922 0.750 0.844
0.078 0.250 0.156
0.686 0.250 0.372
0.525 0.750 0.051
0.475 0.250 0.949
0.314 0.750 0.628
0.626 0.750 0.251
0.374 0.250 0.749
0.213 0.750 0.426
0.787 0.250 0.574
```

Properties
mass density: 10.28 g/cm3
offset from the most stable computed form: 0 meV per atom
DFT formation energy: -0.378 eV/atom

***

Density functional theory data (PBE-GGA) for a geometry-optimized YSc2Hg2 structure.

Cell and atoms, written as POSCAR:
```
YSc2Hg2
1.0
3.587 0.000 -0.481
0.000 5.080 0.000
-0.060 0.000 13.205
Hg Sc Y
4 4 2
Direct
0.457 0.750 0.914
0.543 0.250 0.086
0.353 0.250 0.705
0.647 0.750 0.295
0.951 0.250 0.902
0.049 0.750 0.098
0.238 0.750 0.477
0.762 0.250 0.523
0.853 0.750 0.707
0.147 0.250 0.293
```

Properties
mass density: 8.01 g/cm3
offset from the most stable computed form: 0 meV per atom
DFT formation energy: -0.360 eV/atom

***

Density functional theory data (PBE-GGA) for a geometry-optimized YScHg structure.

Cell and atoms, written as POSCAR:
```
YScHg
1.0
-1.848 4.980 -3.161
1.304 -0.337 -3.263
-4.882 -4.958 -3.345
Y Sc Hg
2 2 2
Direct
0.732 0.334 0.139
0.159 0.470 0.441
0.832 0.974 0.761
0.222 0.136 0.045
0.380 0.692 0.777
0.609 0.744 0.443
```

Properties
mass density: 7.19 g/cm3
offset from the most stable computed form: 91 meV per atom
DFT formation energy: -0.267 eV/atom

***

Density functional theory data (PBE-GGA) for a geometry-optimized YScHg structure.

Cell and atoms, written as POSCAR:
```
YScHg
1.0
6.206 -0.003 -0.014
-1.165 6.350 0.012
-1.950 -2.283 3.914
Hg Y Sc
2 2 2
Direct
0.905 0.403 0.871
0.305 0.175 0.958
0.361 0.507 0.651
0.836 0.709 0.490
0.343 0.908 0.343
0.776 0.090 0.150
```

Properties
mass density: 7.20 g/cm3
offset from the most stable computed form: 89 meV per atom
DFT formation energy: -0.269 eV/atom

***

Density functional theory data (PBE-GGA) for a geometry-optimized YScHg structure.

Cell and atoms, written as POSCAR:
```
YScHg
1.0
-3.861 -2.052 7.197
-3.563 -3.480 -1.091
1.311 -4.332 -2.338
Y Hg Sc
2 2 2
Direct
0.998 0.801 0.610
0.277 0.188 0.556
0.753 0.712 0.032
0.258 0.873 0.203
0.731 0.401 0.676
0.508 0.290 0.120
```

Properties
mass density: 7.37 g/cm3
offset from the most stable computed form: 38 meV per atom
DFT formation energy: -0.320 eV/atom

***

Density functional theory data (PBE-GGA) for a geometry-optimized YScHg structure.

Cell and atoms, written as POSCAR:
```
YScHg
1.0
0.000 3.446 3.446
3.446 0.000 3.446
3.446 3.446 0.000
Sc Y Hg
1 1 1
Direct
0.000 0.000 0.000
0.250 0.250 0.250
0.750 0.750 0.750
```

Properties
mass density: 6.79 g/cm3
offset from the most stable computed form: 671 meV per atom
DFT formation energy: 0.313 eV/atom

***

Density functional theory data (PBE-GGA) for a geometry-optimized YScHg structure.

Cell and atoms, written as POSCAR:
```
YScHg
1.0
4.773 0.000 0.000
0.000 7.268 -0.010
0.000 -0.053 13.344
Y Sc Hg
6 6 6
Direct
0.750 0.521 0.370
0.250 0.991 0.707
0.750 0.641 0.082
0.250 0.479 0.630
0.750 0.009 0.293
0.250 0.359 0.918
0.750 0.158 0.542
0.250 0.842 0.458
0.750 0.022 0.917
0.250 0.978 0.083
0.250 0.342 0.215
0.750 0.658 0.785
0.750 0.756 0.572
0.750 0.271 0.753
0.750 0.231 0.096
0.250 0.729 0.247
0.250 0.769 0.904
0.250 0.244 0.428
```

Properties
mass density: 7.20 g/cm3
offset from the most stable computed form: 0 meV per atom
DFT formation energy: -0.358 eV/atom

***

Density functional theory data (PBE-GGA) for a geometry-optimized YScHg structure.

Cell and atoms, written as POSCAR:
```
YScHg
1.0
-1.820 2.307 3.547
3.236 -3.192 0.746
8.390 8.254 -1.065
Hg Sc Y
2 2 2
Direct
0.667 0.333 0.750
0.333 0.667 0.250
0.000 0.000 0.250
0.000 0.000 0.750
0.000 0.000 0.500
0.000 0.000 0.000
```

Properties
mass density: 5.12 g/cm3
offset from the most stable computed form: 1133 meV per atom
DFT formation energy: 0.775 eV/atom